KNpI4 (PBE, relaxed); total magnetization = 4.00 μB/f.u.; electronic total energy = -4.434 eV per atom; uncorrected formation energy = -1.061 eV per atom; N(E_F) = 0.816 states/eV per atom
1.0
-0.732 -0.835 4.575
3.538 -9.919 1.178
11.902 1.961 4.685
I K Np
8 2 2
direct
0.953 0.428 0.166 I
0.180 0.716 0.458 I
0.047 0.572 0.834 I
0.646 0.216 0.958 I
0.354 0.784 0.042 I
0.453 0.928 0.666 I
0.547 0.072 0.334 I
0.820 0.284 0.542 I
0.767 0.750 0.250 K
0.233 0.250 0.750 K
0.500 0.500 0.000 Np
0.000 0.000 0.500 Np